# PBE Nd2Sm7Th2, optimized geometry
data_Nd2Sm7Th2
_chemical_formula_sum 'Nd4 Sm14 Th4'
_cell_length_a 11.2817
_cell_length_b 11.6694
_cell_length_c 6.1981
_cell_angle_alpha 90.00
_cell_angle_beta 112.77
_cell_angle_gamma 90.00
_space_group_name_H-M_alt 'C 1 2/m 1'
_space_group_IT_number 12
loop_
_space_group_symop_operation_xyz
'x,y,z'
'-x,-y,-z'
'-x,y,-z'
'x,-y,z'
'x+1/2,y+1/2,z'
'-x+1/2,-y+1/2,-z'
'-x+1/2,y+1/2,-z'
'x+1/2,-y+1/2,z'
loop_
_atom_site_label
_atom_site_type_symbol
_atom_site_fract_x
_atom_site_fract_y
_atom_site_fract_z
Nd1 Nd 0.0000 0.2192 0.0000
Sm1 Sm 0.0000 0.0000 0.5000
Sm2 Sm 0.1721 0.2388 0.6652
Sm3 Sm 0.2431 0.0000 0.0829
Th1 Th 0.0851 0.5000 0.3082
# Density, Mg/m³: 7.97
# Density of states at the Fermi level, states/eV per atom: 1.544
# Energy above the most stable polymorph in this dataset, meV/atom: 0
# VASP energy, eV/atom: -5.0393
# Size of the total moment, μB/f.u.: 0.000
# Formation energy from the elements, meV per atom: 179.7

***

# PBE HfSi3Pd, optimized geometry
data_HfSi3Pd
_chemical_formula_sum 'Hf1 Si3 Pd1'
_cell_length_a 4.6426
_cell_length_b 4.6426
_cell_length_c 4.6426
_cell_angle_alpha 90.00
_cell_angle_beta 90.00
_cell_angle_gamma 90.00
_space_group_name_H-M_alt 'P m -3 m'
_space_group_IT_number 221
_space_group_name_Hall '-P 4 2 3'
loop_
_atom_site_label
_atom_site_type_symbol
_atom_site_fract_x
_atom_site_fract_y
_atom_site_fract_z
Hf1 Hf 0.0000 0.0000 0.0000
Si1 Si 0.0000 0.5000 0.5000
Pd1 Pd 0.5000 0.5000 0.5000
# Density, Mg/m³: 6.13
# Density of states at the Fermi level, states/eV per atom: 1.247
# Formation energy (no corrections), eV per atom: 0.643
# VASP energy, eV/atom: -5.6403
# Size of the total moment, μB/f.u.: 0.000

***

# PBE Pa2TeIr, optimized geometry
data_Pa2TeIr
_chemical_formula_sum 'Pa6 Te3 Ir3'
_cell_length_a 4.0002
_cell_length_b 4.0002
_cell_length_c 23.0488
_cell_angle_alpha 90.00
_cell_angle_beta 90.00
_cell_angle_gamma 120.00
_space_group_name_H-M_alt 'R 3 m'
_space_group_IT_number 160
_space_group_name_Hall 'R 3 -2"'
loop_
_atom_site_label
_atom_site_type_symbol
_atom_site_fract_x
_atom_site_fract_y
_atom_site_fract_z
Pa1 Pa 0.0000 0.0000 0.0000
Pa2 Pa 0.0000 0.0000 0.1963
Te1 Te 0.0000 0.0000 0.4308
Ir1 Ir 0.0000 0.0000 0.5997
# Density, Mg/m³: 12.19
# Density of states at the Fermi level, states/eV per atom: 1.954
# Energy above the most stable polymorph in this dataset, meV/atom: 49
# Formation energy (no corrections), eV per atom: -0.737
# VASP energy, eV/atom: -8.4861
# Size of the total moment, μB/f.u.: 1.088

***

# PBE Li2ClF, optimized geometry
data_Li2ClF
_chemical_formula_sum 'Li8 Cl4 F4'
_cell_length_a 5.0054
_cell_length_b 5.0054
_cell_length_c 9.6454
_cell_angle_alpha 90.00
_cell_angle_beta 90.00
_cell_angle_gamma 90.00
_space_group_name_H-M_alt 'I -4 2 d'
_space_group_IT_number 122
_space_group_name_Hall 'I -4 2bw'
loop_
_atom_site_label
_atom_site_type_symbol
_atom_site_fract_x
_atom_site_fract_y
_atom_site_fract_z
Li1 Li 0.1736 0.2500 0.1250
Cl1 Cl 0.0000 0.0000 0.5000
F1 F 0.0000 0.0000 0.0000
# Density, Mg/m³: 1.88
# Density of states at the Fermi level, states/eV per atom: 0.000
# Energy above the most stable polymorph in this dataset, meV/atom: 13
# Formation energy (no corrections), eV per atom: -2.345
# VASP energy, eV/atom: -4.2314
# Size of the total moment, μB/f.u.: 0.000

***

# PBE Rb2Pa2Te5, optimized geometry
data_Rb2Pa2Te5
_chemical_formula_sum 'Rb8 Pa8 Te20'
_cell_length_a 17.9653
_cell_length_b 8.5229
_cell_length_c 8.5275
_cell_angle_alpha 90.00
_cell_angle_beta 90.00
_cell_angle_gamma 90.00
_space_group_name_H-M_alt 'C m c e'
_space_group_IT_number 64
_space_group_name_Hall '-C 2ac 2'
loop_
_atom_site_label
_atom_site_type_symbol
_atom_site_fract_x
_atom_site_fract_y
_atom_site_fract_z
Rb1 Rb 0.2053 0.0000 0.0000
Pa1 Pa 0.0000 0.1524 0.3475
Te1 Te 0.0000 0.0000 0.0000
Te2 Te 0.1110 0.1467 0.6466
# Density, Mg/m³: 6.47
# Density of states at the Fermi level, states/eV per atom: 0.796
# Energy above the most stable polymorph in this dataset, meV/atom: 0
# Formation energy (no corrections), eV per atom: -0.983
# VASP energy, eV/atom: -5.0539
# Size of the total moment, μB/f.u.: 2.009

***

# PBE LiTb2Ge, optimized geometry
data_LiTb2Ge
_chemical_formula_sum 'Li1 Tb2 Ge1'
_cell_length_a 4.8097
_cell_length_b 4.8097
_cell_length_c 3.9938
_cell_angle_alpha 90.00
_cell_angle_beta 90.00
_cell_angle_gamma 90.00
_space_group_name_H-M_alt 'P 4/m m m'
_space_group_IT_number 123
_space_group_name_Hall '-P 4 2'
loop_
_atom_site_label
_atom_site_type_symbol
_atom_site_fract_x
_atom_site_fract_y
_atom_site_fract_z
Li1 Li 0.0000 0.0000 0.0000
Tb1 Tb 0.0000 0.5000 0.5000
Ge1 Ge 0.5000 0.5000 0.0000
# Density, Mg/m³: 7.14
# Density of states at the Fermi level, states/eV per atom: 0.773
# VASP energy, eV/atom: -4.3656
# Size of the total moment, μB/f.u.: 0.000
# Formation energy from the elements, meV per atom: -417.7

***

# PBE Ta3TlPd, optimized geometry
data_Ta3TlPd
_chemical_formula_sum 'Ta3 Tl1 Pd1'
_cell_length_a 5.0411
_cell_length_b 5.0411
_cell_length_c 5.0411
_cell_angle_alpha 90.00
_cell_angle_beta 90.00
_cell_angle_gamma 90.00
_space_group_name_H-M_alt 'P m -3 m'
_space_group_IT_number 221
_space_group_name_Hall '-P 4 2 3'
loop_
_atom_site_label
_atom_site_type_symbol
_atom_site_fract_x
_atom_site_fract_y
_atom_site_fract_z
Ta1 Ta 0.0000 0.0000 0.5000
Tl1 Tl 0.0000 0.0000 0.0000
Pd1 Pd 0.5000 0.5000 0.5000
# Density, Mg/m³: 11.07
# Density of states at the Fermi level, states/eV per atom: 0.849
# Energy above the most stable polymorph in this dataset, meV/atom: 1168
# VASP energy, eV/atom: -6.1545
# Size of the total moment, μB/f.u.: 1.844
# Formation energy from the elements, meV per atom: 2468.9

***

# PBE TeP2Os, optimized geometry
data_TeP2Os
_chemical_formula_sum 'Te4 P8 Os4'
_cell_length_a 6.3918
_cell_length_b 6.3918
_cell_length_c 6.3918
_cell_angle_alpha 90.00
_cell_angle_beta 90.00
_cell_angle_gamma 90.00
_space_group_name_H-M_alt 'F m -3 m'
_space_group_IT_number 225
_space_group_name_Hall '-F 4 2 3'
loop_
_atom_site_label
_atom_site_type_symbol
_atom_site_fract_x
_atom_site_fract_y
_atom_site_fract_z
Te1 Te 0.0000 0.0000 0.0000
P1 P 0.2500 0.2500 0.2500
Os1 Os 0.0000 0.0000 0.5000
# Density, Mg/m³: 9.66
# Density of states at the Fermi level, states/eV per atom: 0.889
# Energy above the most stable polymorph in this dataset, meV/atom: 792
# Formation energy (no corrections), eV per atom: 0.824
# VASP energy, eV/atom: -5.4737
# Size of the total moment, μB/f.u.: 0.000

***

# PBE LiO2F2, optimized geometry
data_LiO2F2
_chemical_formula_sum 'Li2 O4 F4'
_cell_length_a 4.3528
_cell_length_b 4.3528
_cell_length_c 5.8555
_cell_angle_alpha 90.00
_cell_angle_beta 90.00
_cell_angle_gamma 90.00
_space_group_name_H-M_alt 'I 4/m m m'
_space_group_IT_number 139
_space_group_name_Hall '-I 4 2'
loop_
_atom_site_label
_atom_site_type_symbol
_atom_site_fract_x
_atom_site_fract_y
_atom_site_fract_z
Li1 Li 0.0000 0.0000 0.0000
O1 O 0.0000 0.0000 0.3986
F1 F 0.0000 0.5000 0.2500
# Density, Mg/m³: 2.30
# Density of states at the Fermi level, states/eV per atom: 0.330
# Energy above the most stable polymorph in this dataset, meV/atom: 282
# Formation energy (no corrections), eV per atom: -0.877
# VASP energy, eV/atom: -3.9912
# Size of the total moment, μB/f.u.: 1.000

***

# PBE Ba2HgSb, optimized geometry
data_Ba2HgSb
_chemical_formula_sum 'Ba6 Hg3 Sb3'
_cell_length_a 5.0891
_cell_length_b 5.0891
_cell_length_c 24.6055
_cell_angle_alpha 90.00
_cell_angle_beta 90.00
_cell_angle_gamma 120.00
_space_group_name_H-M_alt 'R 3 m'
_space_group_IT_number 160
_space_group_name_Hall 'R 3 -2"'
loop_
_atom_site_label
_atom_site_type_symbol
_atom_site_fract_x
_atom_site_fract_y
_atom_site_fract_z
Ba1 Ba 0.0000 0.0000 0.0000
Ba2 Ba 0.0000 0.0000 0.1861
Hg1 Hg 0.0000 0.0000 0.4304
Sb1 Sb 0.0000 0.0000 0.5906
# Density, Mg/m³: 5.39
# Density of states at the Fermi level, states/eV per atom: 0.754
# Energy above the most stable polymorph in this dataset, meV/atom: 70
# Formation energy (no corrections), eV per atom: -0.733
# VASP energy, eV/atom: -2.8006
# Size of the total moment, μB/f.u.: 0.000